Below is a relaxed structure of KLaGe2I8, with properties calculated at the PBE-GGA level.

a b c (Å): 7.332 7.795 9.663
angles (deg): 85.82 86.21 86.66
Space group P-1 (No. 2)
One atom of each set of equivalent atoms:
K (0.000, 0.000, 0.000) x1
La (0.000, 0.000, 0.500) x1
Ge (0.464, 0.471, 0.239) x2
I (0.245, 0.333, 0.476) x2
I (0.259, 0.827, 0.267) x2
I (0.262, 0.836, 0.729) x2
I (0.275, 0.367, 0.029) x2

Properties
Fermi-level density of states: 0.0 states/eV per cell
mass density: 4.05 g/cm3
raw total energy: -37.90 eV/cell
energy relative to the elements, uncorrected: -0.85 eV per atom



Below is a relaxed structure of KLiGe2I6, with properties calculated at the PBE-GGA level.

a b c (Å): 13.648 17.380 8.492
angles (deg): 90.00 115.64 90.00
Space group C2/c (No. 15)
One atom of each set of equivalent atoms:
K (0.000, 0.096, 0.250) x4
Li (0.000, 0.194, 0.750) x4
Ge (0.126, 0.402, 0.159) x8
I (0.124, 0.245, 0.095) x8
I (0.136, 0.402, 0.489) x8
I (0.138, 0.081, 0.712) x8

Properties
Fermi-level density of states: 0.0 states/eV per cell
mass density: 3.49 g/cm3
raw total energy: -113.27 eV/cell
energy relative to the elements, uncorrected: -0.68 eV per atom



Below is a relaxed structure of KMnGe2I8, with properties calculated at the PBE-GGA level.

a b c (Å): 7.248 8.252 9.741
angles (deg): 81.90 79.12 78.69
Space group P-1 (No. 2)
One atom of each set of equivalent atoms:
K (0.000, 0.000, 0.000) x1
Mn (0.000, 0.000, 0.500) x1
Ge (0.441, 0.393, 0.666) x2
I (0.178, 0.789, 0.684) x2
I (0.211, 0.288, 0.522) x2
I (0.278, 0.331, 0.936) x2
I (0.282, 0.910, 0.285) x2

Properties
mass density: 3.74 g/cm3
raw total energy: -37.29 eV/cell
energy relative to the elements, uncorrected: -0.45 eV per atom



Below is a relaxed structure of KMn2GeI8, with properties calculated at the PBE-GGA level.

a b c (Å): 7.4517 7.4517 10.2607
angles (deg): 90.00 90.00 120.00
Space group P-3 (No. 147)
One atom of each set of equivalent atoms:
K (0.0000, 0.0000, 0.0000) x1
Mn (0.3333, 0.6667, 0.7413) x2
Ge (0.0000, 0.0000, 0.5000) x1
I (0.0084, 0.6846, 0.3246) x6
I (0.3333, 0.6667, 0.9955) x2

Properties
Fermi-level density of states: 8.5 states/eV per cell
mass density: 4.16 g/cm3
raw total energy: -42.40 eV/cell
energy relative to the elements, uncorrected: -0.50 eV per atom



Below is a relaxed structure of K2MnGeI6, with properties calculated at the PBE-GGA level.

a b c (Å): 8.181 8.184 8.187
angles (deg): 60.53 60.52 60.55
Space group P1 (No. 1)
One atom of each set of equivalent atoms:
K (0.000, 0.000, 0.000) x1
K (0.461, 0.460, 0.461) x1
Mn (0.231, 0.230, 0.231) x1
Ge (0.731, 0.730, 0.731) x1
I (0.063, 0.910, 0.473) x1
I (0.400, 0.551, 0.988) x1
I (0.475, 0.061, 0.911) x1
I (0.551, 0.988, 0.400) x1
I (0.911, 0.472, 0.061) x1
I (0.987, 0.399, 0.551) x1

Properties
mass density: 4.09 g/cm3
raw total energy: -33.01 eV/cell
energy relative to the elements, uncorrected: -0.77 eV per atom



Below is a relaxed structure of K2GeIN, with properties calculated at the PBE-GGA level.

a b c (Å): 6.104 6.104 3.942
angles (deg): 90.00 90.00 90.00
Space group P4/mmm (No. 123)
One atom of each set of equivalent atoms:
K (0.000, 0.500, 0.000) x2
Ge (0.000, 0.000, 0.500) x1
I (0.500, 0.500, 0.500) x1
N (0.000, 0.000, 0.000) x1

Properties
Fermi-level density of states: 2.8 states/eV per cell
mass density: 3.30 g/cm3
raw total energy: -18.27 eV/cell
energy relative to the elements, uncorrected: -0.32 eV per atom



Below is a relaxed structure of KNaGeI4, with properties calculated at the PBE-GGA level.

a b c (Å): 7.932 8.396 9.448
angles (deg): 90.00 100.01 90.00
Space group P2_1/m (No. 11)
One atom of each set of equivalent atoms:
K (0.211, 0.250, 0.062) x2
Na (0.298, 0.250, 0.622) x2
Ge (0.200, 0.750, 0.350) x2
I (0.045, 0.005, 0.744) x4
I (0.380, 0.750, 0.122) x2
I (0.500, 0.250, 0.382) x2

Properties
Fermi-level density of states: 0.0 states/eV per cell
mass density: 3.44 g/cm3
raw total energy: -38.25 eV/cell
energy relative to the elements, uncorrected: -0.84 eV per atom



Below is a relaxed structure of KNaGe2I6, with properties calculated at the PBE-GGA level.

a b c (Å): 13.764 16.797 9.148
angles (deg): 90.00 115.18 90.00
Space group C2/c (No. 15)
One atom of each set of equivalent atoms:
K (0.000, 0.101, 0.250) x4
Na (0.000, 0.206, 0.750) x4
Ge (0.134, 0.407, 0.185) x8
I (0.128, 0.402, 0.481) x8
I (0.135, 0.073, 0.679) x8
I (0.140, 0.246, 0.119) x8

Properties
Fermi-level density of states: 0.0 states/eV per cell
mass density: 3.36 g/cm3
raw total energy: -111.25 eV/cell
energy relative to the elements, uncorrected: -0.69 eV per atom



Below is a relaxed structure of K3Na3GeI8, with properties calculated at the PBE-GGA level.

a b c (Å): 9.4275 9.4275 24.4029
angles (deg): 90.00 90.00 120.00
Space group R-3m (No. 166, hexagonal axes)
One atom of each set of equivalent atoms:
K (0.0000, 0.5000, 0.0000) x9
Na (0.0000, 0.5000, 0.5000) x9
Ge (0.0000, 0.0000, 0.5000) x3
I (0.0000, 0.0000, 0.2414) x6
I (0.0204, 0.5102, 0.2370) x18

Properties
Fermi-level density of states: 0.0 states/eV per cell
mass density: 3.38 g/cm3
raw total energy: -124.67 eV/cell
energy relative to the elements, uncorrected: -1.15 eV per atom



Below is a relaxed structure of K2NaGeI5, with properties calculated at the PBE-GGA level.

a b c (Å): 4.883 20.088 15.479
angles (deg): 90.00 90.00 90.00
Space group Cmc2_1 (No. 36)
One atom of each set of equivalent atoms:
K (0.000, 0.108, 0.000) x4
K (0.000, 0.143, 0.648) x4
Na (0.000, 0.216, 0.371) x4
Ge (0.000, 0.461, 0.777) x4
I (0.000, 0.052, 0.385) x4
I (0.000, 0.280, 0.009) x4
I (0.000, 0.326, 0.727) x4
I (0.000, 0.373, 0.326) x4
I (0.000, 0.495, 0.099) x4

Properties
Fermi-level density of states: 0.0 states/eV per cell
mass density: 3.54 g/cm3
raw total energy: -99.74 eV/cell
energy relative to the elements, uncorrected: -1.01 eV per atom



Below is a relaxed structure of KNpGeI6, with properties calculated at the PBE-GGA level.

a b c (Å): 7.9672 7.9672 15.4628
angles (deg): 90.00 90.00 120.00
Space group P-31c (No. 163)
One atom of each set of equivalent atoms:
K (0.0000, 0.0000, 0.0000) x2
Np (0.3333, 0.6667, 0.2500) x2
Ge (0.3333, 0.6667, 0.7500) x2
I (0.0081, 0.3707, 0.6371) x12

Properties
Fermi-level density of states: 17.1 states/eV per cell
mass density: 4.34 g/cm3
raw total energy: -70.47 eV/cell
energy relative to the elements, uncorrected: -0.81 eV per atom



Below is a relaxed structure of KGeI2O, with properties calculated at the PBE-GGA level.

a b c (Å): 6.289 6.289 4.556
angles (deg): 90.00 90.00 90.00
Space group P4/mmm (No. 123)
One atom of each set of equivalent atoms:
K (0.000, 0.000, 0.000) x1
Ge (0.500, 0.500, 0.500) x1
I (0.000, 0.500, 0.000) x2
O (0.000, 0.000, 0.500) x1

Properties
Fermi-level density of states: 6.6 states/eV per cell
mass density: 3.52 g/cm3
raw total energy: -11.95 eV/cell
energy relative to the elements, uncorrected: 0.36 eV per atom
offset from the most stable computed form: 1187 meV per atom



Below is a relaxed structure of KGeI2O, with properties calculated at the PBE-GGA level.

a b c (Å): 6.151 6.151 3.835
angles (deg): 90.00 90.00 90.00
Space group P4/mmm (No. 123)
One atom of each set of equivalent atoms:
K (0.000, 0.000, 0.000) x1
Ge (0.500, 0.500, 0.500) x1
I (0.000, 0.500, 0.500) x2
O (0.500, 0.500, 0.000) x1

Properties
Fermi-level density of states: 2.2 states/eV per cell
mass density: 4.37 g/cm3
raw total energy: -17.89 eV/cell
energy relative to the elements, uncorrected: -0.82 eV per atom
offset from the most stable computed form: 0 meV per atom



Below is a relaxed structure of KGe2IO8, with properties calculated at the PBE-GGA level.

a b c (Å): 8.092 5.779 7.107
angles (deg): 90.00 109.93 90.00
Space group C2/m (No. 12)
One atom of each set of equivalent atoms:
K (0.000, 0.000, 0.000) x2
Ge (0.051, 0.500, 0.213) x4
I (0.000, 0.000, 0.500) x2
O (0.035, 0.234, 0.705) x8
O (0.156, 0.500, 0.023) x4
O (0.245, 0.000, 0.551) x4

Properties
mass density: 4.67 g/cm3
raw total energy: -126.45 eV/cell
energy relative to the elements, uncorrected: -0.97 eV per atom



Below is a relaxed structure of KGePb2I8, with properties calculated at the PBE-GGA level.

a b c (Å): 7.289 7.624 9.636
angles (deg): 89.99 89.96 88.44
Space group P-1 (No. 2)
One atom of each set of equivalent atoms:
K (0.000, 0.000, 0.000) x1
Ge (0.000, 0.000, 0.500) x1
Pb (0.500, 0.500, 0.258) x2
I (0.228, 0.320, 0.500) x2
I (0.239, 0.847, 0.712) x2
I (0.240, 0.848, 0.288) x2
I (0.270, 0.361, 0.000) x2

Properties
Fermi-level density of states: 9.7 states/eV per cell
mass density: 4.78 g/cm3
raw total energy: -32.30 eV/cell
energy relative to the elements, uncorrected: -0.56 eV per atom



Below is a relaxed structure of KRb2GeI5, with properties calculated at the PBE-GGA level.

a b c (Å): 5.323 21.124 15.034
angles (deg): 90.00 90.00 90.00
Space group Cmc2_1 (No. 36)
One atom of each set of equivalent atoms:
K (0.000, 0.210, 0.000) x4
Rb (0.000, 0.109, 0.659) x4
Rb (0.000, 0.142, 0.293) x4
Ge (0.000, 0.472, 0.414) x4
I (0.000, 0.040, 0.002) x4
I (0.000, 0.282, 0.655) x4
I (0.000, 0.341, 0.351) x4
I (0.000, 0.379, 0.974) x4
I (0.000, 0.486, 0.736) x4

Properties
Fermi-level density of states: 0.0 states/eV per cell
mass density: 3.60 g/cm3
raw total energy: -100.34 eV/cell
energy relative to the elements, uncorrected: -1.08 eV per atom



Below is a relaxed structure of KGe2RuI, with properties calculated at the PBE-GGA level.

a b c (Å): 5.345 5.345 5.895
angles (deg): 90.00 90.00 90.00
Space group P4/mmm (No. 123)
One atom of each set of equivalent atoms:
K (0.000, 0.000, 0.000) x1
Ge (0.000, 0.500, 0.000) x2
Ru (0.500, 0.500, 0.500) x1
I (0.000, 0.000, 0.500) x1

Properties
Fermi-level density of states: 4.6 states/eV per cell
mass density: 4.06 g/cm3
raw total energy: -11.48 eV/cell
energy relative to the elements, uncorrected: 1.94 eV per atom



Below is a relaxed structure of KGeSb2I, with properties calculated at the PBE-GGA level.

a b c (Å): 5.381 5.381 6.745
angles (deg): 90.00 90.00 90.00
Space group P4/mmm (No. 123)
One atom of each set of equivalent atoms:
K (0.000, 0.000, 0.000) x1
Ge (0.500, 0.500, 0.500) x1
Sb (0.000, 0.500, 0.500) x2
I (0.500, 0.500, 0.000) x1

Properties
Fermi-level density of states: 3.8 states/eV per cell
mass density: 4.10 g/cm3
raw total energy: -15.32 eV/cell
energy relative to the elements, uncorrected: 0.04 eV per atom
offset from the most stable computed form: 0 meV per atom



Below is a relaxed structure of KGeSb2I, with properties calculated at the PBE-GGA level.

a b c (Å): 6.045 6.045 6.051
angles (deg): 90.00 90.00 90.00
Space group P4/mmm (No. 123)
One atom of each set of equivalent atoms:
K (0.000, 0.000, 0.000) x1
Ge (0.500, 0.500, 0.500) x1
Sb (0.000, 0.500, 0.000) x2
I (0.000, 0.000, 0.500) x1

Properties
Fermi-level density of states: 6.9 states/eV per cell
mass density: 3.62 g/cm3
raw total energy: -9.84 eV/cell
energy relative to the elements, uncorrected: 1.13 eV per atom
offset from the most stable computed form: 1095 meV per atom



Below is a relaxed structure of KGe2SbI8, with properties calculated at the PBE-GGA level.

a b c (Å): 7.374 7.712 9.586
angles (deg): 85.32 85.60 85.39
Space group P-1 (No. 2)
One atom of each set of equivalent atoms:
K (0.000, 0.000, 0.000) x1
Ge (0.449, 0.463, 0.244) x2
Sb (0.000, 0.000, 0.500) x1
I (0.234, 0.318, 0.476) x2
I (0.248, 0.828, 0.720) x2
I (0.252, 0.826, 0.276) x2
I (0.282, 0.358, 0.026) x2

Properties
mass density: 4.06 g/cm3
raw total energy: -32.32 eV/cell
energy relative to the elements, uncorrected: -0.46 eV per atom



Number 1: calculated volume 548.8 Å³/cell. Number 2: calculated volume 1815.9 Å³/cell. Number 3: calculated volume 557.7 Å³/cell. Number 4: calculated volume 493.4 Å³/cell. Number 5: calculated volume 392.3 Å³/cell. Number 6: calculated volume 146.9 Å³/cell. Number 7: calculated volume 619.7 Å³/cell. Number 8: calculated volume 1913.8 Å³/cell. Number 9: calculated volume 1878.5 Å³/cell. Number 10: calculated volume 1518.2 Å³/cell. Number 11: calculated volume 850.0 Å³/cell. Number 12: calculated volume 180.2 Å³/cell. Number 13: calculated volume 145.1 Å³/cell. Number 14: calculated volume 312.4 Å³/cell. Number 15: calculated volume 535.3 Å³/cell. Number 16: calculated volume 1690.5 Å³/cell. Number 17: calculated volume 168.4 Å³/cell. Number 18: calculated volume 195.3 Å³/cell. Number 19: calculated volume 221.1 Å³/cell. Number 20: calculated volume 540.2 Å³/cell.